Material: Na3Li3CoF8
Method: DFT, PBE with a Hubbard U
State: optimized geometry

abc: 6.141 6.137 6.355
angles: 118.75 90.00 120.02
Last column: magnetic moment on the atom in μB.
Element x y z (fractional)
Na (0.000, 0.000, 0.000)  0.00
Na (0.000, 0.500, 0.000)  0.00
Na (0.500, 0.500, 0.000)  0.00
Li (0.500, 0.000, 0.500)  0.00
Li (0.500, 0.500, 0.500)  0.00
Li (0.000, 0.500, 0.500)  0.00
Co (0.000, 0.000, 0.500)  2.76
F (0.258, 0.517, 0.277)  0.00
F (0.742, 0.483, 0.723)  0.00
F (0.768, 0.537, 0.288)  0.03
F (0.232, 0.463, 0.712)  0.03
F (0.767, 0.019, 0.288)  0.03
F (0.233, 0.981, 0.712)  0.03
F (0.252, 0.019, 0.288)  0.03
F (0.748, 0.981, 0.712)  0.03

Computed properties:
Its spin magnetization is 3.0 μB per formula unit. The value obtained for the density of states at the Fermi level is 0.00 states/eV per atom. As for the raw total energy: -4.658 eV per atom. As for the space group: C2/m, No. 12.

---

Material: NaLiCoF2
Method: DFT, PBE with a Hubbard U
State: optimized geometry

abc: 4.275 4.864 4.275
angles: 90.00 90.00 90.00
Element x y z (fractional)
Na (0.000, 0.000, 0.000)
Li (0.500, 0.500, 0.500)
Co (0.000, 0.500, 0.000)
F (0.000, 0.000, 0.500)
F (0.500, 0.000, 0.000)

Computed properties:
Its spin magnetization is 0.1 μB per formula unit. The value obtained for the density of states at the Fermi level is 0.30 states/eV per atom. As for the raw total energy: -3.063 eV per atom. As for the space group: P4/mmm, No. 123.

---

Material: NaLi2CoF8
Method: DFT, PBE with a Hubbard U
State: optimized geometry

abc: 4.715 4.363 6.626
angles: 89.96 89.99 91.18
Last column: magnetic moment on the atom in μB.
Element x y z (fractional)
Na (0.000, 0.000, 0.500)  0.00
Li (0.500, 0.500, 0.770)  0.00
Li (0.500, 0.500, 0.230)  0.00
Co (0.000, 0.000, 0.000)  0.99
F (0.153, 0.774, 0.200)  0.01
F (0.689, 0.753, 0.000)  0.02
F (0.846, 0.225, 0.200)  0.01
F (0.847, 0.226, 0.800)  0.01
F (0.311, 0.247, 0.000)  0.02
F (0.154, 0.775, 0.800)  0.01
F (0.534, 0.742, 0.500)  0.13
F (0.466, 0.258, 0.500)  0.13

Computed properties:
Its spin magnetization is 1.4 μB per formula unit. The value obtained for the density of states at the Fermi level is 0.33 states/eV per atom. As for the raw total energy: -4.199 eV per atom. As for the space group: P2/m, No. 10.